Material: Cs4WO5
Method: DFT, PBE with a Hubbard U
State: optimized geometry

For the electronic total energy, the calculation gives -106.71 eV per cell. The calculation puts the calculated volume at 24.89 Å³ per atom. Its crystal system is tetragonal. The calculation puts the density of states at the Fermi level at 0.000 states/eV/f.u.

The space group is I4 (No. 79) and the conventional cell measures 8.977, 8.977 and 6.178 Å, with angles of 90.00, 90.00 and 90.00 degrees. The distinct sites, in fractional coordinates, are Cs at (0.112, 0.702, 0.000), W at (0.000, 0.000, 0.546), O at (0.000, 0.000, 0.843) and O at (0.066, 0.800, 0.478).